[1]
Entry from Alexandria: ReRu2Br after structural relaxation (PBE-GGA).

Unit cell a=2.798 b=4.872 c=9.662 alpha=90.00 beta=90.00 gamma=90.00
Space group Cmm2 (No. 35)
Symmetry-distinct sites (fractional):
1 Re 0.000 0.000 0.000 (multiplicity 2)
2 Ru 0.000 0.000 0.457 (multiplicity 2)
3 Ru 0.000 0.500 0.224 (multiplicity 2)
4 Br 0.000 0.500 0.695 (multiplicity 2)

Results
total DFT energy (no corrections)	-0.53065	Ry per atom
ΔE_f (raw)	91	kJ/mol of atoms
calculated density	11.8	Mg/m³
ΔE to the lowest computed polymorph	1.751	eV/f.u.

---

[2]
Entry from Alexandria: LaTcHg2 after structural relaxation (PBE-GGA).

Unit cell a=4.232 b=3.843 c=11.697 alpha=90.00 beta=90.00 gamma=90.00
Space group Amm2 (No. 38)
Symmetry-distinct sites (fractional):
1 La 0.000 0.000 0.000 (multiplicity 2)
2 Tc 0.500 0.000 0.563 (multiplicity 2)
3 Hg 0.000 0.000 0.722 (multiplicity 2)
4 Hg 0.500 0.000 0.318 (multiplicity 2)

Results
total DFT energy (no corrections)	-0.27981	Ry per atom
energy relative to the elements	0.67	eV/f.u.
calculated density	11.1	Mg/m³
ΔE to the lowest computed polymorph	0.140	eV/f.u.

---

[3]
Entry from Alexandria: Al2CuW after structural relaxation (PBE-GGA).

Unit cell a=2.824 b=3.782 c=5.467 alpha=90.00 beta=90.00 gamma=90.00
Space group Pmm2 (No. 25)
Symmetry-distinct sites (fractional):
1 Al 0.000 0.000 0.000 (multiplicity 1)
2 Al 0.500 0.500 0.274 (multiplicity 1)
3 Cu 0.000 0.000 0.487 (multiplicity 1)
4 W 0.500 0.500 0.768 (multiplicity 1)

Results
total DFT energy (no corrections)	-0.44689	Ry per atom
energy relative to the elements	0.21	eV/f.u.
calculated density	8.6	Mg/m³
ΔE to the lowest computed polymorph	0.570	eV/f.u.

---

[4]
Entry from Alexandria: La2Pr2Ag after structural relaxation (PBE-GGA).

Unit cell a=8.553 b=9.625 c=8.601 alpha=90.00 beta=113.44 gamma=90.00
Space group C2/m (No. 12)
Symmetry-distinct sites (fractional):
1 La 0.166 0.000 0.429 (multiplicity 4)
2 La 0.219 0.500 0.116 (multiplicity 4)
3 Pr 0.084 0.310 0.726 (multiplicity 8)
4 Ag 0.000 0.154 0.000 (multiplicity 4)

Results
total DFT energy (no corrections)	-0.32803	Ry per atom
energy relative to the elements	-0.05	eV/f.u.
calculated density	6.8	Mg/m³
ΔE to the lowest computed polymorph	0.392	eV/f.u.

---

[5]
Entry from Alexandria: AlAgC after structural relaxation (PBE-GGA).

Unit cell a=3.428 b=5.110 c=5.829 alpha=90.00 beta=121.55 gamma=90.00
Space group Pc (No. 7)
Symmetry-distinct sites (fractional):
1 Al 0.000 0.042 0.000 (multiplicity 2)
2 Ag 0.384 0.476 0.573 (multiplicity 2)
3 C 0.360 0.158 0.840 (multiplicity 2)

Results
total DFT energy (no corrections)	-0.35935	Ry per atom
energy relative to the elements	1.15	eV/f.u.
calculated density	5.6	Mg/m³

---

[6]
Entry from Alexandria: Sm5Ho4Tl2 after structural relaxation (PBE-GGA).

Unit cell a=8.818 b=3.576 c=11.161 alpha=90.00 beta=93.86 gamma=90.00
Space group P2/m (No. 10)
Symmetry-distinct sites (fractional):
1 Sm 0.000 0.000 0.000 (multiplicity 1)
2 Sm 0.040 0.000 0.340 (multiplicity 2)
3 Sm 0.299 0.000 0.833 (multiplicity 2)
4 Ho 0.285 0.500 0.555 (multiplicity 2)
5 Ho 0.349 0.500 0.105 (multiplicity 2)
6 Tl 0.412 0.000 0.340 (multiplicity 2)

Results
total DFT energy (no corrections)	-0.31319	Ry per atom
energy relative to the elements	-0.23	eV/f.u.
calculated density	8.6	Mg/m³

---

[7]
Entry from Alexandria: K2Np2AuSe6 after structural relaxation (PBE-GGA).

Unit cell a=6.776 b=13.301 c=8.131 alpha=90.00 beta=104.44 gamma=90.00
Space group C2/m (No. 12)
Symmetry-distinct sites (fractional):
1 K 0.000 0.149 0.000 (multiplicity 4)
2 Np 0.000 0.338 0.500 (multiplicity 4)
3 Au 0.000 0.000 0.500 (multiplicity 2)
4 Se 0.242 0.500 0.680 (multiplicity 4)
5 Se 0.245 0.194 0.707 (multiplicity 8)

Results
total DFT energy (no corrections)	-0.41869	Ry per atom
ΔE_f (raw)	-91	kJ/mol of atoms
calculated density	5.7	Mg/m³

---

[8]
Entry from Alexandria: RbOs3Br after structural relaxation (PBE-GGA).

Unit cell a=5.066 b=5.066 c=5.066 alpha=90.00 beta=90.00 gamma=90.00
Space group Pm-3m (No. 221)
Symmetry-distinct sites (fractional):
1 Rb 0.000 0.000 0.000 (multiplicity 1)
2 Os 0.000 0.000 0.500 (multiplicity 3)
3 Br 0.500 0.500 0.500 (multiplicity 1)

Results
total DFT energy (no corrections)	-0.22536	Ry per atom
ΔE_f (raw)	405	kJ/mol of atoms
calculated density	9.4	Mg/m³
ΔE to the lowest computed polymorph	8.110	eV/f.u.

---

[9]
Entry from Alexandria: Ac6PPt2Se3 after structural relaxation (PBE-GGA).

Unit cell a=7.645 b=13.248 c=7.992 alpha=90.00 beta=108.73 gamma=90.00
Space group C2/m (No. 12)
Symmetry-distinct sites (fractional):
1 Ac 0.240 0.000 0.232 (multiplicity 4)
2 Ac 0.244 0.332 0.231 (multiplicity 8)
3 P 0.000 0.500 0.000 (multiplicity 2)
4 Pt 0.000 0.167 0.000 (multiplicity 4)
5 Se 0.000 0.000 0.500 (multiplicity 2)
6 Se 0.000 0.337 0.500 (multiplicity 4)

Results
total DFT energy (no corrections)	-0.43622	Ry per atom
ΔE_f (raw)	-150	kJ/mol of atoms
calculated density	8.8	Mg/m³

---

[10]
Entry from Alexandria: BaMn2Os after structural relaxation (PBE-GGA).

Unit cell a=4.311 b=4.335 c=4.353 alpha=90.00 beta=90.00 gamma=90.00
Space group Pmmm (No. 47)
Symmetry-distinct sites (fractional):
1 Ba 0.000 0.000 0.000 (multiplicity 1)
2 Mn 0.500 0.000 0.500 (multiplicity 1)
3 Mn 0.500 0.500 0.000 (multiplicity 1)
4 Os 0.000 0.500 0.500 (multiplicity 1)

Results
total DFT energy (no corrections)	-0.49092	Ry per atom
energy relative to the elements	4.77	eV/f.u.
calculated density	8.9	Mg/m³
ΔE to the lowest computed polymorph	3.097	eV/f.u.

---

[11]
Entry from Alexandria: Zr2SbBr after structural relaxation (PBE-GGA).

Unit cell a=3.3431 b=3.3431 c=27.7644 alpha=90.00 beta=90.00 gamma=120.00
Space group R-3m (No. 166, hexagonal axes)
Symmetry-distinct sites (fractional):
1 Zr 0.0000 0.0000 0.2480 (multiplicity 6)
2 Sb 0.0000 0.0000 0.0000 (multiplicity 3)
3 Br 0.0000 0.0000 0.5000 (multiplicity 3)

Results
total DFT energy (no corrections)	-0.44560	Ry per atom
ΔE_f (raw)	-33	kJ/mol of atoms
calculated density	7.1	Mg/m³
ΔE to the lowest computed polymorph	0.873	eV/f.u.

---

[12]
Entry from Alexandria: CaTm2ZnAu4 after structural relaxation (PBE-GGA).

Unit cell a=4.9206 b=4.9206 c=24.2492 alpha=90.00 beta=90.00 gamma=120.00
Space group R-3m (No. 166, hexagonal axes)
Symmetry-distinct sites (fractional):
1 Ca 0.0000 0.0000 0.0000 (multiplicity 3)
2 Tm 0.0000 0.0000 0.2433 (multiplicity 6)
3 Zn 0.0000 0.0000 0.5000 (multiplicity 3)
4 Au 0.0000 0.0000 0.1238 (multiplicity 6)
5 Au 0.0000 0.0000 0.3798 (multiplicity 6)

Results
total DFT energy (no corrections)	-0.28531	Ry per atom
energy relative to the elements	-5.73	eV/f.u.
calculated density	12.1	Mg/m³

---

[13]
Entry from Alexandria: Tb6NpSe12 after structural relaxation (PBE-GGA).

Unit cell a=12.5003 b=12.5003 c=11.8409 alpha=90.00 beta=90.00 gamma=120.00
Space group R-3 (No. 148, hexagonal axes)
Symmetry-distinct sites (fractional):
1 Tb 0.0445 0.2695 0.1315 (multiplicity 18)
2 Np 0.0000 0.0000 0.5000 (multiplicity 3)
3 Se 0.0296 0.2154 0.8917 (multiplicity 18)
4 Se 0.0503 0.1997 0.3754 (multiplicity 18)

Results
total DFT energy (no corrections)	-0.43679	Ry per atom
ΔE_f (raw)	-154	kJ/mol of atoms
calculated density	6.6	Mg/m³

---

[14]
Entry from Alexandria: Ho2ThS3 after structural relaxation (PBE-GGA).

Unit cell a=3.901 b=5.597 c=11.914 alpha=90.00 beta=90.00 gamma=90.00
Space group Immm (No. 71)
Symmetry-distinct sites (fractional):
1 Ho 0.000 0.000 0.163 (multiplicity 4)
2 Th 0.000 0.000 0.500 (multiplicity 2)
3 S 0.000 0.500 0.176 (multiplicity 4)
4 S 0.000 0.500 0.500 (multiplicity 2)

Results
total DFT energy (no corrections)	-0.49429	Ry per atom
ΔE_f (raw)	-183	kJ/mol of atoms
calculated density	8.4	Mg/m³

---

[15]
Entry from Alexandria: Pa3Ge2Ru6 after structural relaxation (PBE-GGA).

Unit cell a=9.274 b=9.274 c=9.274 alpha=90.00 beta=90.00 gamma=90.00
Space group Im-3m (No. 229)
Symmetry-distinct sites (fractional):
1 Pa 0.000 0.000 0.287 (multiplicity 12)
2 Ge 0.250 0.250 0.250 (multiplicity 8)
3 Ru 0.000 0.350 0.350 (multiplicity 24)

Results
total DFT energy (no corrections)	-0.65724	Ry per atom
energy relative to the elements	-4.99	eV/f.u.
calculated density	12.0	Mg/m³

---

[16]
Entry from Alexandria: PrInBr4 after structural relaxation (PBE-GGA).

Unit cell a=8.957 b=18.381 c=7.517 alpha=90.00 beta=116.60 gamma=90.00
Space group C2/c (No. 15)
Symmetry-distinct sites (fractional):
1 Pr 0.000 0.068 0.250 (multiplicity 4)
2 In 0.000 0.312 0.250 (multiplicity 4)
3 Br 0.202 0.049 0.681 (multiplicity 8)
4 Br 0.228 0.180 0.258 (multiplicity 8)

Results
total DFT energy (no corrections)	-0.28229	Ry per atom
ΔE_f (raw)	-142	kJ/mol of atoms
calculated density	3.5	Mg/m³

---

[17]
Entry from Alexandria: TbNd5Dy2Ho after structural relaxation (PBE-GGA).

Unit cell a=5.660 b=20.425 c=10.715 alpha=90.00 beta=90.00 gamma=90.00
Space group Cmc2_1 (No. 36)
Symmetry-distinct sites (fractional):
1 Tb 0.000 0.199 0.000 (multiplicity 4)
2 Nd 0.000 0.016 0.008 (multiplicity 4)
3 Nd 0.000 0.280 0.301 (multiplicity 4)
4 Nd 0.000 0.297 0.696 (multiplicity 4)
5 Nd 0.000 0.386 0.012 (multiplicity 4)
6 Nd 0.000 0.482 0.734 (multiplicity 4)
7 Dy 0.000 0.112 0.728 (multiplicity 4)
8 Dy 0.000 0.115 0.302 (multiplicity 4)
9 Ho 0.000 0.409 0.452 (multiplicity 4)

Results
total DFT energy (no corrections)	-0.33458	Ry per atom
energy relative to the elements	1.28	eV/f.u.
calculated density	7.3	Mg/m³

---

[18]
Entry from Alexandria: LiDy2Ho3S6 after structural relaxation (PBE-GGA).

Unit cell a=6.697 b=11.629 c=6.717 alpha=90.00 beta=109.57 gamma=90.00
Space group C2/m (No. 12)
Symmetry-distinct sites (fractional):
1 Li 0.000 0.000 0.000 (multiplicity 2)
2 Dy 0.000 0.334 0.000 (multiplicity 4)
3 Ho 0.000 0.166 0.500 (multiplicity 4)
4 Ho 0.000 0.500 0.500 (multiplicity 2)
5 S 0.242 0.000 0.756 (multiplicity 4)
6 S 0.245 0.163 0.248 (multiplicity 8)

Results
total DFT energy (no corrections)	-0.44761	Ry per atom
ΔE_f (raw)	-189	kJ/mol of atoms
calculated density	6.9	Mg/m³

---

[19]
Entry from Alexandria: Dy3Se5 after structural relaxation (PBE-GGA).

Unit cell a=8.7230 b=8.7230 c=5.8009 alpha=90.00 beta=90.00 gamma=120.00
Space group P6_3/mcm (No. 193)
Symmetry-distinct sites (fractional):
1 Dy 0.0000 0.3676 0.2500 (multiplicity 6)
2 Se 0.0000 0.2780 0.7500 (multiplicity 6)
3 Se 0.3333 0.6667 0.0000 (multiplicity 4)

Results
total DFT energy (no corrections)	-0.41044	Ry per atom
ΔE_f (raw)	-162	kJ/mol of atoms
calculated density	7.7	Mg/m³

---

[20]
Entry from Alexandria: CsOs3S after structural relaxation (PBE-GGA).

Unit cell a=4.585 b=4.585 c=4.585 alpha=90.00 beta=90.00 gamma=90.00
Space group Pm-3m (No. 221)
Symmetry-distinct sites (fractional):
1 Cs 0.000 0.000 0.000 (multiplicity 1)
2 Os 0.000 0.500 0.500 (multiplicity 3)
3 S 0.500 0.500 0.500 (multiplicity 1)

Results
total DFT energy (no corrections)	-0.43413	Ry per atom
ΔE_f (raw)	176	kJ/mol of atoms
calculated density	12.7	Mg/m³
ΔE to the lowest computed polymorph	0.000	eV/f.u.